Record 1
VASP calculation (GGA-PBE) on SrCeTh2As4 after structural relaxation.

a b c (Å): 7.4471 7.4471 7.4471
angles (deg): 131.93 131.93 70.34
Closest atoms and distances in Å follow each position.
Positions (direct):
Sr: 0.0000 0.0000 0.0000  6 As 3.03-3.12
Ce: 0.2500 0.7500 0.5000  6 As 3.03-3.05
Th: 0.5000 0.5000 0.0000  6 As 2.97-3.03
Th: 0.7500 0.2500 0.5000  6 As 3.03
As: 0.2563 0.2563 0.0000  3 Th 2.97-3.03, 2 Ce 3.03, 1 Sr 3.12
As: 0.5008 0.0008 0.5000  3 Th 3.03, 2 Sr 3.03, 1 Ce 3.05
As: 0.7437 0.7437 0.0000  3 Th 2.97-3.03, 2 Ce 3.03, 1 Sr 3.12
As: 0.9992 0.4992 0.5000  3 Th 3.03, 2 Sr 3.03, 1 Ce 3.05

DFT formation energy   -10.9 eV/f.u.

Record 2
VASP calculation (GGA-PBE) on TbY2Tm4 after structural relaxation.

a b c (Å): 3.5813 3.5813 19.7551
angles (deg): 95.18 95.18 60.00
Closest atoms and distances in Å follow each position.
Positions (direct):
Tb: 0.0000 0.0000 0.0000  6 Tm 3.48-3.49, 6 Tb 3.58
Y: 0.8100 0.8100 0.4257  6 Tm 3.49, 6 Y 3.58
Y: 0.9047 0.9047 0.7131  6 Tm 3.50-3.51, 6 Y 3.58
Tm: 0.0955 0.0955 0.2826  9 Tm 3.44-3.58, 3 Y 3.49
Tm: 0.1905 0.1905 0.5689  6 Y 3.49-3.51, 6 Tm 3.58
Tm: 0.6189 0.6189 0.8570  3 Tb 3.49, 3 Y 3.50, 6 Tm 3.58
Tm: 0.7148 0.7148 0.1427  9 Tm 3.44-3.58, 3 Tb 3.48

DFT formation energy   0.0 eV/f.u.

Record 3
VASP calculation (GGA-PBE) on LaY2Co after structural relaxation.

a b c (Å): 6.4962 6.4962 6.4962
angles (deg): 148.11 130.45 60.14
Closest atoms and distances in Å follow each position.
Positions (direct):
La: 0.0000 0.0000 0.0000  4 Co 3.26, 4 Y 3.45, 2 La 3.57
Y: 0.3122 0.8122 0.5000  2 Co 2.77
Y: 0.6878 0.1878 0.5000  2 Co 2.77
Co: 0.5000 0.5000 0.0000  4 Y 2.77

DFT formation energy   0.0 eV/f.u.

Record 4
VASP calculation (GGA-PBE) on BaTlZn after structural relaxation.

a b c (Å): 11.1472 11.1472 4.7031
angles (deg): 90.00 90.00 157.02
Closest atoms and distances in Å follow each position.
Positions (direct):
Ba: 0.1676 0.8324 0.7500  2 Tl 3.42, 2 Zn 3.57
Ba: 0.8324 0.1676 0.2500  2 Tl 3.42, 2 Zn 3.57
Tl: 0.0540 0.9460 0.2500  6 Zn 3.02-3.25, 2 Tl 3.33
Tl: 0.9460 0.0540 0.7500  6 Zn 3.02-3.25, 2 Tl 3.33
Zn: 0.4603 0.5397 0.2500  2 Zn 2.92, 6 Tl 3.02-3.25
Zn: 0.5397 0.4603 0.7500  2 Zn 2.92, 6 Tl 3.02-3.25

DFT formation energy   0.0 eV/f.u.